Record 1
DFT (PBE) results for an optimized crystal structure of Re2Si.

Calculated values
The total energy comes out at -238.12 eV/cell. Its crystal system is tetragonal. The density of states at the Fermi level comes out at 2.94 states/eV/f.u. Its formation energy without anion corrections is 0.185 eV/atom.

Cell lengths 3.9466, 3.9466, 22.3242 Å; angles 90.00, 90.00, 90.00 degrees
Space group I4_1/amd (No. 141, origin choice 2)
Unique sites:
Re 0.0000 0.2500 0.1168
Re 0.0000 0.2500 0.2855
Si 0.0000 0.2500 0.7987


Record 2
DFT (PBE) results for an optimized crystal structure of ReSi2.

Calculated values
The total energy comes out at -92.34 eV/cell. Its crystal system is tetragonal. The density of states at the Fermi level comes out at 0.43 states/eV/f.u. Its formation energy without anion corrections is 0.070 eV/atom.

Cell lengths 3.0352, 3.0352, 19.2430 Å; angles 90.00, 90.00, 90.00 degrees
Space group I4_1/amd (No. 141, origin choice 2)
Unique sites:
Re 0.0000 0.2500 0.3750
Si 0.0000 0.2500 0.8038


Record 3
DFT (PBE) results for an optimized crystal structure of Re3Si23.

Calculated values
The total energy comes out at -285.51 eV/cell. Its crystal system is cubic. The density of states at the Fermi level comes out at 9.50 states/eV/f.u. Its formation energy without anion corrections is 0.743 eV/atom.

Cell lengths 10.1239, 10.1239, 10.1239 Å; angles 90.00, 90.00, 90.00 degrees
Space group Pm-3n (No. 223)
Unique sites:
Re 0.0000 0.2500 0.5000
Si 0.0000 0.3109 0.1160
Si 0.0000 0.5000 0.2500
Si 0.1839 0.1839 0.1839


Record 4
DFT (PBE) results for an optimized crystal structure of ReSi3.

Calculated values
The total energy comes out at -116.24 eV/cell. Its crystal system is orthorhombic. The density of states at the Fermi level comes out at 0.49 states/eV/f.u. Its formation energy without anion corrections is -0.086 eV/atom.

Cell lengths 7.1685, 7.2718, 4.7198 Å; angles 90.00, 90.00, 90.00 degrees
Space group Pnma (No. 62)
Unique sites:
Re 0.1440 0.2500 0.0420
Si 0.0119 0.2500 0.5514
Si 0.1343 0.5579 0.8204


Record 5
DFT (PBE) results for an optimized crystal structure of Re3Si.

Calculated values
The total energy comes out at -43.18 eV/cell. Its crystal system is tetragonal. The density of states at the Fermi level comes out at 2.67 states/eV/f.u. Its formation energy without anion corrections is -0.102 eV/atom.

Cell lengths 2.9110, 2.9110, 6.6556 Å; angles 90.00, 90.00, 90.00 degrees
Space group P4/mmm (No. 123)
Unique sites:
Re 0.0000 0.0000 0.0000
Re 0.5000 0.5000 0.2718
Si 0.0000 0.0000 0.5000


Record 6
DFT (PBE) results for an optimized crystal structure of SmRe2Si2.

Calculated values
The total energy comes out at -171.14 eV/cell. Its crystal system is orthorhombic. The density of states at the Fermi level comes out at 3.64 states/eV/f.u. Its formation energy without anion corrections is -0.465 eV/atom.

Cell lengths 5.7297, 5.7887, 10.5674 Å; angles 90.00, 90.00, 90.00 degrees
Space group Fmmm (No. 69)
Unique sites:
Sm 0.0000 0.0000 0.0000
Re 0.2500 0.2500 0.2500
Si 0.0000 0.0000 0.3816


Record 7
DFT (PBE) results for an optimized crystal structure of SmReSi2.

Calculated values
The total energy comes out at -121.16 eV/cell. Its crystal system is orthorhombic. The density of states at the Fermi level comes out at 2.20 states/eV/f.u. Its formation energy without anion corrections is -0.569 eV/atom.

Cell lengths 7.2686, 4.0157, 10.0562 Å; angles 90.00, 90.00, 90.00 degrees
Space group Pnma (No. 62)
Unique sites:
Sm 0.1436 0.2500 0.1279
Re 0.0148 0.7500 0.3959
Si 0.1580 0.2500 0.8104
Si 0.2113 0.2500 0.4266


Record 8
DFT (PBE) results for an optimized crystal structure of Sm3Re2Si4.

Calculated values
The total energy comes out at -131.65 eV/cell. Its crystal system is monoclinic. The density of states at the Fermi level comes out at 4.56 states/eV/f.u. Its formation energy without anion corrections is -0.565 eV/atom.

Cell lengths 11.0301, 4.2413, 8.2390 Å; angles 90.00, 109.20, 90.00 degrees
Space group C2/m (No. 12)
Unique sites:
Sm 0.0000 0.0000 0.0000
Sm 0.1193 0.5000 0.7000
Re 0.1840 0.5000 0.3538
Si 0.1030 0.0000 0.4147
Si 0.2137 0.5000 0.0776


Record 9
DFT (PBE) results for an optimized crystal structure of SmReSi2.

Calculated values
The total energy comes out at -89.70 eV/cell. Its crystal system is trigonal. The density of states at the Fermi level comes out at 2.79 states/eV/f.u. Its formation energy without anion corrections is -0.471 eV/atom.

Cell lengths 4.1701, 4.1701, 14.9107 Å; angles 90.00, 90.00, 120.00 degrees
Space group R-3m (No. 166, hexagonal axes)
Unique sites:
Sm 0.0000 0.0000 0.0000
Re 0.0000 0.0000 0.5000
Si 0.0000 0.0000 0.2099


Record 10
DFT (PBE) results for an optimized crystal structure of SmReSi3.

Calculated values
The total energy comes out at -71.15 eV/cell. Its crystal system is tetragonal. The density of states at the Fermi level comes out at 2.10 states/eV/f.u. Its formation energy without anion corrections is -0.428 eV/atom.

Cell lengths 4.2596, 4.2596, 10.0819 Å; angles 90.00, 90.00, 90.00 degrees
Space group I4mm (No. 107)
Unique sites:
Sm 0.0000 0.0000 0.0000
Re 0.0000 0.0000 0.6578
Si 0.0000 0.0000 0.4236
Si 0.0000 0.5000 0.2649